Record 1
# CaIn2SnOs, relaxed, DFT PBE
data_CaIn2SnOs
_chemical_formula_sum 'Ca1 In2 Sn1 Os1'
_space_group_name_H-M_alt 'P 1'
_space_group_IT_number 1
_space_group_name_Hall 'P 1'
_cell_length_a 5.670
_cell_length_b 4.862
_cell_length_c 5.670
_cell_angle_alpha 90.00
_cell_angle_beta 90.00
_cell_angle_gamma 90.00
loop_
_atom_site_label
_atom_site_fract_x
_atom_site_fract_y
_atom_site_fract_z
Sn1 0.500 0.500 0.500
In1 0.500 0.000 0.000
In2 0.000 0.000 0.500
Ca1 0.000 0.000 0.000
Os1 0.000 0.500 0.000
# E_form	1427	meV per atom
# symmetry	No. 123

=====

Record 2
# BeAl2Ru, relaxed, DFT PBE
data_BeAl2Ru
_chemical_formula_sum 'Be1 Al2 Ru1'
_space_group_name_H-M_alt 'P 1'
_space_group_IT_number 1
_space_group_name_Hall 'P 1'
_cell_length_a 3.118
_cell_length_b 3.118
_cell_length_c 5.374
_cell_angle_alpha 90.00
_cell_angle_beta 90.00
_cell_angle_gamma 90.00
loop_
_atom_site_label
_atom_site_fract_x
_atom_site_fract_y
_atom_site_fract_z
Be1 0.000 0.000 0.516
Ru1 0.500 0.500 0.735
Al1 0.000 0.000 0.975
Al2 0.500 0.500 0.274
# E_form	-371	meV per atom
# symmetry	No. 99

=====

Record 3
# NaCa3Ac2S6, relaxed, DFT PBE
data_NaCa3Ac2S6
_chemical_formula_sum 'Na1 Ca3 Ac2 S6'
_space_group_name_H-M_alt 'P 1'
_space_group_IT_number 1
_space_group_name_Hall 'P 1'
_cell_length_a 4.167
_cell_length_b 8.352
_cell_length_c 9.302
_cell_angle_alpha 103.53
_cell_angle_beta 102.94
_cell_angle_gamma 90.00
loop_
_atom_site_label
_atom_site_fract_x
_atom_site_fract_y
_atom_site_fract_z
Na1 0.500 0.000 0.000
S1 0.003 0.740 0.006
Ca1 0.837 0.167 0.674
Ac1 0.838 0.677 0.676
S2 0.671 0.073 0.342
S3 0.997 0.260 0.994
Ca2 0.500 0.500 0.000
Ca3 0.163 0.833 0.326
S4 0.665 0.590 0.330
S5 0.329 0.927 0.658
S6 0.335 0.410 0.670
Ac2 0.162 0.323 0.324
# symmetry	No. 12
# ΔE_f (raw)	-1982	meV per atom

=====

How do the records compare in DOS at the Fermi energy? In the order shown, they have 6.07; 1.45; 2.88 states/eV/cell.